[1]
PaBPb: relaxed, PBE-GGA.

abc: 4.773 4.773 4.773
angles: 60.00 60.00 60.00
Fractional positions:
Pa 0.000 0.000 0.000
B 0.750 0.750 0.750
Pb 0.250 0.250 0.250

Total magnetization ... 0.11 μB/f.u.
Excess energy over the best structure of this formula in the dataset ... 604 meV/atom
VASP energy ... -16.3 eV for the cell shown

=====

[2]
PaBPb: relaxed, PBE-GGA.

abc: 4.487 4.487 4.487
angles: 60.00 60.00 60.00
Fractional positions:
Pa 0.000 0.000 0.000
B 0.250 0.250 0.250
Pb 0.500 0.500 0.500

Total magnetization ... 0.21 μB/f.u.
Excess energy over the best structure of this formula in the dataset ... 0 meV/atom
VASP energy ... -18.1 eV for the cell shown

=====

[3]
PaBPb: relaxed, PBE-GGA.

abc: 4.783 4.783 4.783
angles: 60.00 60.00 60.00
Fractional positions:
Pa 0.000 0.000 0.000
B 0.500 0.500 0.500
Pb 0.750 0.750 0.750

Total magnetization ... 1.44 μB/f.u.
Excess energy over the best structure of this formula in the dataset ... 1065 meV/atom
VASP energy ... -14.9 eV for the cell shown

=====

[4]
PaBPd: relaxed, PBE-GGA.

abc: 4.363 4.363 4.363
angles: 60.00 60.00 60.00
Fractional positions:
Pa 0.000 0.000 0.000
B 0.500 0.500 0.500
Pd 0.750 0.750 0.750

Total magnetization ... 0.00 μB/f.u.
Excess energy over the best structure of this formula in the dataset ... 543 meV/atom
VASP energy ... -20.4 eV for the cell shown

=====

[5]
PaBPd: relaxed, PBE-GGA.

abc: 4.201 4.201 4.201
angles: 60.00 60.00 60.00
Fractional positions:
Pa 0.000 0.000 0.000
B 0.250 0.250 0.250
Pd 0.500 0.500 0.500

Total magnetization ... 0.00 μB/f.u.
Excess energy over the best structure of this formula in the dataset ... 0 meV/atom
VASP energy ... -22.0 eV for the cell shown

=====

[6]
PaBPd: relaxed, PBE-GGA.

abc: 4.442 4.442 4.442
angles: 60.00 60.00 60.00
Fractional positions:
Pa 0.000 0.000 0.000
B 0.750 0.750 0.750
Pd 0.250 0.250 0.250

Total magnetization ... 0.00 μB/f.u.
Excess energy over the best structure of this formula in the dataset ... 849 meV/atom
VASP energy ... -19.4 eV for the cell shown